! Rb3Pm3PdO8 | the Alexandria database | GGA-PBE | optimized geometry; values from VASP
! Symmetry: R-3m (166)
! Volume in Å³ per atom: 18.849
! Crystal system: trigonal
! DFT total energy in eV per atom: -6.270
! Raw formation energy in eV per formula unit: -32.033
&SYSTEM
  ibrav = 0, nat = 15, ntyp = 4
/
ATOMIC_SPECIES
Rb 85.47 Rb.upf
Pm 145.00 Pm.upf
Pd 106.42 Pd.upf
O 16.00 O.upf
ATOMIC_POSITIONS crystal
Rb 0.000 0.500 0.500
Rb 0.500 0.000 0.500
Rb 0.500 0.500 0.000
Pm 0.000 0.000 0.500
Pm 0.000 0.500 0.000
Pm 0.500 0.000 0.000
Pd 0.500 0.500 0.500
O 0.226 0.226 0.226
O 0.254 0.707 0.707
O 0.293 0.293 0.746
O 0.293 0.746 0.293
O 0.707 0.254 0.707
O 0.707 0.707 0.254
O 0.746 0.293 0.293
O 0.774 0.774 0.774
CELL_PARAMETERS angstrom
3.515 2.029 6.606
-3.515 2.029 6.606
0.000 -4.059 6.606